{
  "formula": "LaAgAu3",
  "functional": "PBE",
  "state": "optimized geometry",
  "space_group": "Pm-3m",
  "magnetic_moment_mub_per_fu": 0.00,
  "dos_at_fermi_per_ev_cell": 2.65,
  "lattice_angstrom": [[5.089, 0.000, 0.000], [0.000, 5.089, 0.000], [0.000, 0.000, 5.089]],
  "species": ["La", "Ag", "Au", "Au", "Au"],
  "frac_coords": [[0.000, 0.000, 0.000], [0.500, 0.500, 0.500], [0.000, 0.500, 0.500], [0.500, 0.000, 0.500], [0.500, 0.500, 0.000]]
}

***

{
  "formula": "LaAgAu2",
  "functional": "PBE",
  "state": "optimized geometry",
  "space_group": "P4/mmm",
  "magnetic_moment_mub_per_fu": 0.00,
  "dos_at_fermi_per_ev_cell": 1.27,
  "lattice_angstrom": [[3.674, 0.000, 0.000], [0.000, 3.674, 0.000], [0.000, 0.000, 6.676]],
  "species": ["La", "Ag", "Au", "Au"],
  "frac_coords": [[0.000, 0.000, 0.000], [0.000, 0.000, 0.500], [0.500, 0.500, 0.281], [0.500, 0.500, 0.719]]
}

***

{
  "formula": "La3AgAu",
  "functional": "PBE",
  "state": "optimized geometry",
  "space_group": "Pm-3m",
  "magnetic_moment_mub_per_fu": 0.00,
  "dos_at_fermi_per_ev_cell": 13.02,
  "lattice_angstrom": [[5.807, 0.000, 0.000], [0.000, 5.807, 0.000], [0.000, 0.000, 5.807]],
  "species": ["La", "La", "La", "Ag", "Au"],
  "frac_coords": [[0.000, 0.000, 0.500], [0.000, 0.500, 0.000], [0.500, 0.000, 0.000], [0.500, 0.500, 0.500], [0.000, 0.000, 0.000]]
}

***

{
  "formula": "La6Ag3Au",
  "functional": "PBE",
  "state": "optimized geometry",
  "space_group": "P2_1/c",
  "magnetic_moment_mub_per_fu": 0.00,
  "dos_at_fermi_per_ev_cell": 25.96,
  "lattice_angstrom": [[7.703, 0.000, 0.000], [0.000, 7.767, 0.000], [-6.229, 0.000, 11.021]],
  "species": ["La", "La", "La", "La", "La", "La", "La", "La", "La", "La", "La", "La", "Ag", "Ag", "Ag", "Ag", "Ag", "Ag", "Au", "Au"],
  "frac_coords": [[0.085, 0.009, 0.261], [0.085, 0.491, 0.761], [0.215, 0.656, 0.087], [0.215, 0.844, 0.587], [0.393, 0.166, 0.076], [0.393, 0.334, 0.576], [0.607, 0.666, 0.424], [0.607, 0.834, 0.924], [0.785, 0.156, 0.413], [0.785, 0.344, 0.913], [0.915, 0.509, 0.239], [0.915, 0.991, 0.739], [0.338, 0.151, 0.785], [0.338, 0.349, 0.285], [0.500, 0.000, 0.500], [0.500, 0.500, 0.000], [0.662, 0.651, 0.715], [0.662, 0.849, 0.215], [0.000, 0.000, 0.000], [0.000, 0.500, 0.500]]
}

***

{
  "formula": "La2Ag2Au",
  "functional": "PBE",
  "state": "optimized geometry",
  "space_group": "C2/m",
  "magnetic_moment_mub_per_fu": 0.00,
  "dos_at_fermi_per_ev_cell": 6.43,
  "lattice_angstrom": [[5.491, -2.149, 0.000], [5.491, 2.149, 0.000], [-4.284, 0.000, 11.244]],
  "species": ["La", "La", "La", "La", "Ag", "Ag", "Ag", "Ag", "Au", "Au"],
  "frac_coords": [[0.009, 0.009, 0.339], [0.185, 0.185, 0.114], [0.815, 0.815, 0.886], [0.991, 0.991, 0.661], [0.354, 0.354, 0.453], [0.465, 0.465, 0.107], [0.535, 0.535, 0.893], [0.646, 0.646, 0.547], [0.291, 0.291, 0.687], [0.709, 0.709, 0.313]]
}

***

{
  "formula": "La6Ag2Au",
  "functional": "PBE",
  "state": "optimized geometry",
  "space_group": "P-3m1",
  "magnetic_moment_mub_per_fu": 0.00,
  "dos_at_fermi_per_ev_cell": 9.15,
  "lattice_angstrom": [[5.550, 0.000, 0.000], [-2.775, 4.806, 0.000], [0.000, 0.000, 10.297]],
  "species": ["La", "La", "La", "La", "La", "La", "Ag", "Ag", "Au"],
  "frac_coords": [[0.000, 0.000, 0.188], [0.000, 0.000, 0.812], [0.333, 0.667, 0.011], [0.333, 0.667, 0.394], [0.667, 0.333, 0.606], [0.667, 0.333, 0.989], [0.333, 0.667, 0.710], [0.667, 0.333, 0.290], [0.000, 0.000, 0.500]]
}

***

{
  "formula": "La2AgAu",
  "functional": "PBE",
  "state": "optimized geometry",
  "space_group": "C2/m",
  "magnetic_moment_mub_per_fu": 0.00,
  "dos_at_fermi_per_ev_cell": 3.56,
  "lattice_angstrom": [[3.808, -3.803, 0.000], [3.808, 3.803, 0.000], [-0.007, 0.000, 3.787]],
  "species": ["La", "La", "Ag", "Au"],
  "frac_coords": [[0.000, 0.500, 0.000], [0.500, 0.000, 0.000], [0.000, 0.000, 0.500], [0.500, 0.500, 0.500]]
}

***

{
  "formula": "LaAgAu2",
  "functional": "PBE",
  "state": "optimized geometry",
  "space_group": "I-42d",
  "magnetic_moment_mub_per_fu": 0.00,
  "dos_at_fermi_per_ev_cell": 8.62,
  "lattice_angstrom": [[-2.356, 2.356, 9.457], [2.356, -2.356, 9.457], [2.356, 2.356, -9.457]],
  "species": ["La", "La", "Ag", "Ag", "Au", "Au", "Au", "Au"],
  "frac_coords": [[0.000, 0.000, 0.000], [0.750, 0.250, 0.500], [0.250, 0.750, 0.500], [0.500, 0.500, 0.000], [0.204, 0.625, 0.079], [0.375, 0.454, 0.579], [0.546, 0.125, 0.921], [0.875, 0.796, 0.421]]
}

***

{
  "formula": "La2AgAu",
  "functional": "PBE",
  "state": "optimized geometry",
  "space_group": "P2_1/m",
  "magnetic_moment_mub_per_fu": 0.00,
  "dos_at_fermi_per_ev_cell": 6.52,
  "lattice_angstrom": [[6.257, 0.000, 0.000], [0.000, 4.915, 0.000], [-3.039, 0.000, 7.373]],
  "species": ["La", "La", "La", "La", "Ag", "Ag", "Au", "Au"],
  "frac_coords": [[0.219, 0.250, 0.424], [0.232, 0.250, 0.921], [0.768, 0.750, 0.079], [0.781, 0.750, 0.576], [0.330, 0.750, 0.204], [0.670, 0.250, 0.796], [0.340, 0.750, 0.704], [0.660, 0.250, 0.296]]
}

***

{
  "formula": "La2AgAu",
  "functional": "PBE",
  "state": "optimized geometry",
  "space_group": "Fm-3m",
  "magnetic_moment_mub_per_fu": 0.00,
  "dos_at_fermi_per_ev_cell": 2.99,
  "lattice_angstrom": [[0.000, 3.800, 3.800], [3.800, 0.000, 3.800], [3.800, 3.800, 0.000]],
  "species": ["La", "La", "Ag", "Au"],
  "frac_coords": [[0.250, 0.250, 0.250], [0.750, 0.750, 0.750], [0.000, 0.000, 0.000], [0.500, 0.500, 0.500]]
}

***

Asked for energy above the most stable polymorph in this dataset across the records above, the calculation gives 426 86 460 124 0 0 18 351 0 20 meV/atom in order.
Asked for energy of formation across the records above, the calculation gives -0.025 -0.501 0.052 -0.170 -0.452 -0.248 -0.521 -0.236 -0.538 -0.519 eV per atom in order.